Model A:
Mg2TaCl: relaxed, PBEsol.

**Volume**: 74.2 Å³/f.u.
**Space group**: R-3m, No. 166
**Spin magnetization**: 0.0 Bohr magnetons per cell

abc: 3.1454 3.1454 8.8517
angles: 79.77 79.77 60.00
Element x y z (fractional)
Cl1 0.0000 0.0000 0.0000
Mg1 0.2558 0.2558 0.2327
Mg2 0.7442 0.7442 0.7673
Ta1 0.5000 0.5000 0.5000


Model B:
Mg2TaCl: relaxed, PBEsol.

**Volume**: 77.2 Å³/f.u.
**Space group**: I-42d, No. 122
**Spin magnetization**: 0.0 Bohr magnetons per cell

abc: 5.5012 5.9707 5.9707
angles: 77.75 62.57 62.57
Element x y z (fractional)
Mg1 0.1671 0.9579 0.4579
Mg2 0.5829 0.0421 0.5421
Mg3 0.3750 0.4579 0.0421
Mg4 0.8750 0.5421 0.9579
Cl1 0.2500 0.5000 0.5000
Cl2 0.5000 0.0000 0.0000
Ta1 0.7500 0.5000 0.5000
Ta2 0.0000 0.0000 0.0000


Result of the stability comparison: model B is the least stable of them.